[1]
This record from Alexandria via LeMat-Bulk describes an optimized crystal structure of TiSi2Pt. The functional is PBE.

Summary:
* DOS(E_F): 11.70 states/eV/cell
* magnetization: 0.0000 μB/atom
* formation energy (no corrections): -290 meV per atom
* energy: -6.4852 eV per atom

Cell and atoms, written as POSCAR:
```
TiSi2Pt
1.0
6.888 0.000 0.000
0.000 6.888 0.000
0.000 0.000 5.480
Ti Si Pt
4 8 4
Direct
0.000 0.000 0.000
0.000 0.500 0.250
0.500 0.000 0.750
0.500 0.500 0.500
0.223 0.750 0.625
0.250 0.223 0.375
0.250 0.277 0.875
0.277 0.750 0.125
0.723 0.250 0.125
0.750 0.723 0.875
0.750 0.777 0.375
0.777 0.250 0.625
0.000 0.000 0.500
0.000 0.500 0.750
0.500 0.000 0.250
0.500 0.500 0.000
```

***

[2]
This record from Alexandria via LeMat-Bulk describes an optimized crystal structure of Ti4SiPt. The functional is PBE.

Summary:
* DOS(E_F): 4.73 states/eV/cell
* magnetization: 0.0000 μB/atom
* formation energy (no corrections): -358 meV per atom
* energy: -7.5323 eV per atom

Cell and atoms, written as POSCAR:
```
Ti4SiPt
1.0
4.249 0.000 0.000
0.000 4.249 0.000
0.000 0.000 6.085
Ti Si Pt
4 1 1
Direct
0.000 0.500 0.245
0.000 0.500 0.755
0.500 0.000 0.245
0.500 0.000 0.755
0.000 0.000 0.000
0.500 0.500 0.500
```

***

[3]
This record from Alexandria via LeMat-Bulk describes an optimized crystal structure of Ti2SiPt. The functional is PBE.

Summary:
* DOS(E_F): 3.35 states/eV/cell
* magnetization: 0.0000 μB/atom
* formation energy (no corrections): -771 meV per atom
* energy: -7.5845 eV per atom

Cell and atoms, written as POSCAR:
```
Ti2SiPt
1.0
3.852 0.000 0.000
0.000 3.852 0.000
0.000 0.000 4.029
Ti Si Pt
2 1 1
Direct
0.000 0.500 0.000
0.500 0.000 0.000
0.000 0.000 0.500
0.500 0.500 0.500
```

***

[4]
This record from Alexandria via LeMat-Bulk describes an optimized crystal structure of Ti2SiPt8. The functional is PBE.

Summary:
* DOS(E_F): 3.56 states/eV/cell
* magnetization: 0.0000 μB/atom
* formation energy (no corrections): -769 meV per atom
* energy: -7.0907 eV per atom

Cell and atoms, written as POSCAR:
```
Ti2SiPt8
1.0
-2.236 2.833 6.765
2.236 -2.833 6.765
2.236 2.833 -6.765
Ti Si Pt
2 1 8
Direct
0.188 0.188 0.000
0.812 0.812 0.000
0.500 0.500 0.000
0.106 0.365 0.740
0.245 0.000 0.245
0.313 0.813 0.500
0.375 0.635 0.740
0.625 0.365 0.260
0.687 0.187 0.500
0.755 0.000 0.755
0.894 0.635 0.260
```

***

[5]
This record from Alexandria via LeMat-Bulk describes an optimized crystal structure of Ti3SiPt. The functional is PBE.

Summary:
* DOS(E_F): 3.93 states/eV/cell
* magnetization: 0.0000 μB/atom
* formation energy (no corrections): 156 meV per atom
* energy: -6.8735 eV per atom

Cell and atoms, written as POSCAR:
```
Ti3SiPt
1.0
4.526 0.000 0.000
0.000 4.526 0.000
0.000 0.000 4.526
Ti Si Pt
3 1 1
Direct
0.000 0.000 0.500
0.000 0.500 0.000
0.500 0.000 0.000
0.000 0.000 0.000
0.500 0.500 0.500
```

***

[6]
This record from Alexandria via LeMat-Bulk describes an optimized crystal structure of TiSi2Pt. The functional is PBE.

Summary:
* DOS(E_F): 2.60 states/eV/cell
* magnetization: 0.0000 μB/atom
* formation energy (no corrections): -570 meV per atom
* energy: -6.7657 eV per atom

Cell and atoms, written as POSCAR:
```
TiSi2Pt
1.0
4.060 0.000 0.000
0.000 4.060 0.000
0.000 0.000 3.481
Ti Si Pt
1 2 1
Direct
0.000 0.000 0.000
0.000 0.500 0.500
0.500 0.000 0.500
0.500 0.500 0.000
```

***

[7]
This record from Alexandria via LeMat-Bulk describes an optimized crystal structure of Ti3SiPt. The functional is PBE.

Summary:
* DOS(E_F): 5.35 states/eV/cell
* magnetization: 0.0000 μB/atom
* formation energy (no corrections): 361 meV per atom
* energy: -6.6688 eV per atom

Cell and atoms, written as POSCAR:
```
Ti3SiPt
1.0
4.751 0.000 0.000
0.000 4.751 0.000
0.000 0.000 4.751
Ti Si Pt
3 1 1
Direct
0.000 0.000 0.500
0.000 0.500 0.000
0.500 0.000 0.000
0.500 0.500 0.500
0.000 0.000 0.000
```

***

[8]
This record from Alexandria via LeMat-Bulk describes an optimized crystal structure of Ti2Si2Pt. The functional is PBE.

Summary:
* DOS(E_F): 5.87 states/eV/cell
* magnetization: 0.0000 μB/atom
* formation energy (no corrections): -903 meV per atom
* energy: -7.4380 eV per atom

Cell and atoms, written as POSCAR:
```
Ti2Si2Pt
1.0
6.232 0.000 0.000
0.000 6.232 0.000
0.000 0.000 3.832
Ti Si Pt
4 4 2
Direct
0.168 0.332 0.000
0.332 0.832 0.000
0.668 0.168 0.000
0.832 0.668 0.000
0.132 0.632 0.500
0.368 0.132 0.500
0.632 0.868 0.500
0.868 0.368 0.500
0.000 0.000 0.500
0.500 0.500 0.500
```

***

[9]
This record from Alexandria via LeMat-Bulk describes an optimized crystal structure of Ti2SiPt. The functional is PBE.

Summary:
* DOS(E_F): 17.04 states/eV/cell
* magnetization: 0.0000 μB/atom
* formation energy (no corrections): -344 meV per atom
* energy: -7.1570 eV per atom

Cell and atoms, written as POSCAR:
```
Ti2SiPt
1.0
7.050 0.000 0.000
0.000 7.050 0.000
0.000 0.000 5.320
Ti Si Pt
8 4 4
Direct
0.250 0.250 0.375
0.250 0.250 0.875
0.250 0.750 0.125
0.250 0.750 0.625
0.750 0.250 0.125
0.750 0.250 0.625
0.750 0.750 0.375
0.750 0.750 0.875
0.000 0.000 0.000
0.000 0.500 0.250
0.500 0.000 0.750
0.500 0.500 0.500
0.000 0.000 0.500
0.000 0.500 0.750
0.500 0.000 0.250
0.500 0.500 0.000
```

***

[10]
This record from Alexandria via LeMat-Bulk describes an optimized crystal structure of Tm2TiSi4Pt3. The functional is PBE.

Summary:
* DOS(E_F): 2.97 states/eV/cell
* magnetization: 0.0000 μB/atom
* formation energy (no corrections): -1006 meV per atom
* energy: -6.6709 eV per atom

Cell and atoms, written as POSCAR:
```
Tm2TiSi4Pt3
1.0
4.065 0.000 0.000
0.000 4.065 0.000
0.000 0.000 10.519
Tm Ti Si Pt
2 1 4 3
Direct
0.000 0.500 0.249
0.500 0.000 0.751
0.000 0.000 0.500
0.000 0.000 0.000
0.000 0.500 0.645
0.500 0.000 0.355
0.500 0.500 0.000
0.000 0.500 0.874
0.500 0.000 0.126
0.500 0.500 0.500
```

***

[11]
This record from Alexandria via LeMat-Bulk describes an optimized crystal structure of U2TiSi4Pt3. The functional is PBE.

Summary:
* DOS(E_F): 14.74 states/eV/cell
* magnetization: 0.5260 μB/atom
* formation energy (no corrections): -738 meV per atom
* energy: -7.7664 eV per atom

Cell and atoms, written as POSCAR:
```
U2TiSi4Pt3
1.0
4.165 0.000 0.000
0.000 4.165 0.000
0.000 0.000 10.153
U Ti Si Pt
2 1 4 3
Direct
0.000 0.500 0.248
0.500 0.000 0.752
0.000 0.000 0.500
0.000 0.000 0.000
0.000 0.500 0.644
0.500 0.000 0.356
0.500 0.500 0.000
0.000 0.500 0.880
0.500 0.000 0.120
0.500 0.500 0.500
```

***

[12]
This record from Alexandria via LeMat-Bulk describes an optimized crystal structure of TiVSiPt2. The functional is PBE.

Summary:
* DOS(E_F): 6.56 states/eV/cell
* magnetization: 0.0010 μB/atom
* formation energy (no corrections): 356 meV per atom
* energy: -6.5479 eV per atom

Cell and atoms, written as POSCAR:
```
TiVSiPt2
1.0
4.444 0.000 0.000
0.000 4.444 0.000
0.000 0.000 4.546
Ti V Si Pt
1 1 1 2
Direct
0.000 0.000 0.000
0.500 0.500 0.000
0.000 0.000 0.500
0.000 0.500 0.500
0.500 0.000 0.500
```